An optimized crystal structure of KOsBr2, computed with GGA-PBEsol.

Cell lengths 11.075, 3.782, 5.919 Å; angles 90.00, 114.38, 90.00 degrees
Space group Cm (No. 8)
One atom of each set of equivalent atoms:
K 0.000 0.000 0.000 x2
Os 0.251 0.000 0.552 x2
Br 0.165 0.500 0.701 x2
Br 0.332 0.500 0.391 x2

Results
DOS(E_F)   5.476 states/eV per cell
Total magnetic moment   0.0 μB per formula unit
Energy   -4.17 eV/atom
Formation energy (no corrections)   0.1026 eV per atom
V   28.22 A^3/atom

An optimized crystal structure of TcIN3, computed with GGA-PBEsol.

Cell lengths 3.946, 3.946, 3.946 Å; angles 90.00, 90.00, 90.00 degrees
Space group Pm-3m (No. 221)
One atom of each set of equivalent atoms:
Tc 0.000 0.000 0.000 x1
I 0.500 0.500 0.500 x1
N 0.000 0.000 0.500 x3

Results
DOS(E_F)   4.631 states/eV per cell
Total magnetic moment   0.0 μB per formula unit
Energy   -6.67 eV/atom
Formation energy (no corrections)   1.0562 eV per atom
V   12.28 A^3/atom

An optimized crystal structure of SbAu2, computed with GGA-PBEsol.

Cell lengths 3.9847, 3.9847, 4.6652 Å; angles 90.00, 90.00, 120.00 degrees
Space group P-3m1 (No. 164)
One atom of each set of equivalent atoms:
Sb 0.0000 0.0000 0.0000 x1
Au 0.3333 0.6667 0.6611 x2

Results
DOS(E_F)   1.292 states/eV per cell
Total magnetic moment   0.0 μB per formula unit
Energy   -4.12 eV/atom
Formation energy (no corrections)   0.0110 eV per atom
V   21.38 A^3/atom